A plane-wave DFT calculation with PBE was carried out for a geometry-optimized Tl2PtCl structure.

Summary:
E_tot = -3.39 eV/atom
Symmetry = P4/mmm
E above lowest polymorph = 96 meV/atom
Formation energy (no corrections) = -0.2311 eV/atom

abc: 5.3716 5.3707 3.1812
angles: 90.00 90.00 90.00
With the nearest neighbours (Å) after each atom.
Fractional positions:
Cl 0.5000 0.0000 0.5000  8 Tl 3.12, 2 Cl 3.18
Pt 0.0000 0.5000 0.5000  8 Tl 3.12, 2 Pt 3.18
Tl 0.0000 0.0000 0.0000  4 Pt 3.12, 4 Cl 3.12, 2 Tl 3.18
Tl 0.5000 0.5000 0.0000  4 Cl 3.12, 4 Pt 3.12, 2 Tl 3.18



A plane-wave DFT calculation with PBE was carried out for a geometry-optimized Be2CuAg2 structure.

Summary:
E_tot = -3.30 eV/atom
Symmetry = P4/mbm
E above lowest polymorph = 0 meV/atom
ΔE_f = 71 kJ/mol of formula units

abc: 6.4849 6.4849 3.0413
angles: 90.00 90.00 90.00
With the nearest neighbours (Å) after each atom.
Fractional positions:
Be 0.3726 0.8726 0.0000  1 Be 2.34, 6 Ag 2.42-2.46, 2 Cu 2.55
Be 0.8726 0.6274 0.0000  1 Be 2.34, 6 Ag 2.42-2.46, 2 Cu 2.55
Be 0.6274 0.1274 0.0000  1 Be 2.34, 6 Ag 2.42-2.46, 2 Cu 2.55
Be 0.1274 0.3726 0.0000  1 Be 2.34, 6 Ag 2.42-2.46, 2 Cu 2.55
Cu 0.0000 0.0000 0.0000  4 Be 2.55, 8 Ag 2.85
Cu 0.5000 0.5000 0.0000  4 Be 2.55, 8 Ag 2.85
Ag 0.1676 0.6676 0.5000  6 Be 2.42-2.46
Ag 0.6676 0.8324 0.5000  6 Be 2.42-2.46
Ag 0.8324 0.3324 0.5000  6 Be 2.42-2.46
Ag 0.3324 0.1676 0.5000  6 Be 2.42-2.46



A plane-wave DFT calculation with PBE was carried out for a geometry-optimized CrBr2Cl structure.

Summary:
E_tot = -3.58 eV/atom
Symmetry = P4/mmm
E above lowest polymorph = 891 meV/atom
Formation energy (no corrections) = 0.1202 eV/atom

abc: 6.7391 3.9666 3.9666
angles: 90.00 90.00 90.00
With the nearest neighbours (Å) after each atom.
Fractional positions:
Cr 0.5000 0.0000 0.5000  4 Cl 2.80
Br 0.0000 0.0000 0.0000  4 Br 2.80
Br 0.0000 0.5000 0.5000  4 Br 2.80
Cl 0.5000 0.5000 0.0000  4 Cr 2.80



A plane-wave DFT calculation with PBE was carried out for a geometry-optimized PmLuSnPt structure.

Summary:
E_tot = -5.64 eV/atom
Symmetry = F-43m
ΔE_f = -314 kJ/mol of formula units

abc: 5.1685 5.1685 5.1685
angles: 60.00 60.00 60.00
With the nearest neighbours (Å) after each atom.
Fractional positions:
Lu 0.5000 0.5000 0.5000  4 Pt 3.17, 4 Sn 3.17
Sn 0.2500 0.2500 0.2500  4 Lu 3.17, 4 Pm 3.17
Pt 0.7500 0.7500 0.7500  4 Pm 3.17, 4 Lu 3.17
Pm 0.0000 0.0000 0.0000  4 Sn 3.17, 4 Pt 3.17



A plane-wave DFT calculation with PBE was carried out for a geometry-optimized Co2PbSe structure.

Summary:
E_tot = -5.17 eV/atom
Symmetry = R-3m
E above lowest polymorph = 127 meV/atom
Formation energy (no corrections) = 0.1850 eV/atom

abc: 3.8983 3.8983 5.8169
angles: 70.36 70.36 59.98
With the nearest neighbours (Å) after each atom.
Fractional positions:
Co 0.9551 0.9551 0.1351  3 Se 2.33, 3 Co 2.57
Co 0.5449 0.5449 0.3649  3 Se 2.33, 3 Co 2.57
Pb 0.7500 0.7500 0.7500  8 Co 3.05-3.30
Se 0.2500 0.2500 0.2500  6 Co 2.33



A plane-wave DFT calculation with PBE was carried out for a geometry-optimized Mg7ZnIr4 structure.

Summary:
E_tot = -4.06 eV/atom
Symmetry = C2/m
ΔE_f = -82 kJ/mol of formula units

abc: 4.7188 7.8614 6.7682
angles: 78.63 69.60 72.53
With the nearest neighbours (Å) after each atom.
Fractional positions:
Mg 0.7795 0.8686 0.5724  4 Ir 2.71-2.88, 2 Mg 2.93-2.98
Mg 0.2205 0.1314 0.4276  4 Ir 2.71-2.88, 2 Mg 2.93-2.98
Mg 0.0676 0.6413 0.2235  5 Ir 2.65-2.83, 1 Zn 2.91, 1 Mg 2.93
Mg 0.9324 0.3587 0.7765  5 Ir 2.65-2.83, 1 Zn 2.91, 1 Mg 2.93
Mg 0.3136 0.6350 0.7377  4 Ir 2.62-2.81
Mg 0.5000 0.0000 0.0000  2 Zn 2.36, 4 Ir 2.58-2.63
Mg 0.6864 0.3650 0.2623  4 Ir 2.62-2.81
Zn 0.0000 0.0000 0.0000  2 Mg 2.36
Ir 0.5644 0.2161 0.6552  7 Mg 2.58-2.87, 1 Ir 2.64
Ir 0.4356 0.7839 0.3448  7 Mg 2.58-2.87, 1 Ir 2.64
Ir 0.6862 0.6522 0.9754  8 Mg 2.63-2.88, 1 Ir 2.64
Ir 0.3138 0.3478 0.0246  8 Mg 2.63-2.88, 1 Ir 2.64



A plane-wave DFT calculation with PBE was carried out for a geometry-optimized CeEu2Y structure.

Summary:
E_tot = -8.05 eV/atom
Symmetry = P4/mmm
E above lowest polymorph = 0 meV/atom
ΔE_f = 73 kJ/mol of formula units

abc: 3.6751 3.6751 10.5618
angles: 90.00 90.00 90.00
With the nearest neighbours (Å) after each atom.
Fractional positions:
Eu 0.0000 0.0000 0.7514  4 Eu 3.68, 4 Ce 3.69, 4 Y 3.72
Eu 0.0000 0.0000 0.2486  4 Eu 3.68, 4 Ce 3.69, 4 Y 3.72
Y 0.5000 0.5000 0.5000  4 Y 3.68, 8 Eu 3.72
Ce 0.5000 0.5000 0.0000  4 Ce 3.68, 8 Eu 3.69



A plane-wave DFT calculation with PBE was carried out for a geometry-optimized TlP5 structure.

Summary:
E_tot = -4.71 eV/atom
Symmetry = Cm
E above lowest polymorph = 213 meV/atom
ΔE_f = 109 kJ/mol of formula units

abc: 7.4013 7.4013 6.6284
angles: 75.49 75.49 25.19
With the nearest neighbours (Å) after each atom.
Fractional positions:
Tl 0.3051 0.3051 0.8652  3 P 3.10-3.29, 2 Tl 3.23
P 0.9249 0.9249 0.2395  3 P 2.22-2.35
P 0.3033 0.3033 0.3334  4 P 2.34-2.35
P 0.7067 0.7067 0.5409  3 P 2.24-2.34
P 0.5983 0.5983 0.3535  3 P 2.24
P 0.9950 0.9950 0.5009  3 P 2.22-2.24



A plane-wave DFT calculation with PBE was carried out for a geometry-optimized AcTb2Rh structure.

Summary:
E_tot = -5.65 eV/atom
Symmetry = Pnma
E above lowest polymorph = 0 meV/atom
ΔE_f = -180 kJ/mol of formula units

abc: 6.5725 7.3910 9.8423
angles: 90.00 90.00 90.00
With the nearest neighbours (Å) after each atom.
Fractional positions:
Ac 0.6412 0.5387 0.2500  2 Rh 2.95-3.15
Ac 0.8588 0.0387 0.2500  2 Rh 2.95-3.15
Ac 0.3588 0.4613 0.7500  2 Rh 2.95-3.15
Ac 0.1412 0.9613 0.7500  2 Rh 2.95-3.15
Tb 0.1671 0.6739 0.0685  2 Rh 2.85-2.86
Tb 0.3329 0.1739 0.4315  2 Rh 2.85-2.86
Tb 0.8329 0.3261 0.5685  2 Rh 2.85-2.86
Tb 0.6671 0.8261 0.9315  2 Rh 2.85-2.86
Tb 0.8329 0.3261 0.9315  2 Rh 2.85-2.86
Tb 0.6671 0.8261 0.5685  2 Rh 2.85-2.86
Tb 0.1671 0.6739 0.4315  2 Rh 2.85-2.86
Tb 0.3329 0.1739 0.0685  2 Rh 2.85-2.86
Rh 0.0868 0.3818 0.2500  4 Tb 2.85-2.86, 2 Ac 2.95-3.15
Rh 0.4132 0.8818 0.2500  4 Tb 2.85-2.86, 2 Ac 2.95-3.15
Rh 0.9132 0.6182 0.7500  4 Tb 2.85-2.86, 2 Ac 2.95-3.15
Rh 0.5868 0.1182 0.7500  4 Tb 2.85-2.86, 2 Ac 2.95-3.15



A plane-wave DFT calculation with PBE was carried out for a geometry-optimized Mg2Tl3SnF9 structure.

Summary:
E_tot = -4.64 eV/atom
Symmetry = P-3m1
Formation energy (no corrections) = -2.5635 eV/atom

abc: 6.0583 6.0583 7.6407
angles: 90.00 90.00 120.00
With the nearest neighbours (Å) after each atom.
Fractional positions:
Mg 0.3333 0.6667 0.1494  6 F 2.02-2.09
Mg 0.6667 0.3333 0.8506  6 F 2.02-2.09
Tl 0.3333 0.6667 0.6816  12 F 3.00-3.31
Tl 0.0000 0.0000 0.0000  12 F 2.99-3.03
Tl 0.6667 0.3333 0.3184  12 F 3.00-3.31
Sn 0.0000 0.0000 0.5000  6 F 2.39
F 0.8219 0.1781 0.6952  1 Mg 2.02
F 0.8219 0.6437 0.6952  1 Mg 2.02
F 0.3563 0.1781 0.6952  1 Mg 2.02
F 0.6437 0.8219 0.3048  1 Mg 2.02
F 0.1781 0.3563 0.3048  1 Mg 2.02
F 0.1781 0.8219 0.3048  1 Mg 2.02
F 0.5000 0.0000 0.0000  2 Mg 2.09
F 0.0000 0.5000 0.0000  2 Mg 2.09
F 0.5000 0.5000 0.0000  2 Mg 2.09



A plane-wave DFT calculation with PBE was carried out for a geometry-optimized Cd2SbAu structure.

Summary:
E_tot = -2.21 eV/atom
Symmetry = F-43m
Formation energy (no corrections) = 0.0970 eV/atom

abc: 5.0586 5.0586 5.0586
angles: 60.00 60.00 60.00
With the nearest neighbours (Å) after each atom.
Fractional positions:
Sb 0.2500 0.2500 0.2500  4 Au 3.10, 4 Cd 3.10
Au 0.5000 0.5000 0.5000  4 Cd 3.10, 4 Sb 3.10
Cd 0.0000 0.0000 0.0000  4 Cd 3.10, 4 Sb 3.10
Cd 0.7500 0.7500 0.7500  4 Cd 3.10, 4 Au 3.10



A plane-wave DFT calculation with PBE was carried out for a geometry-optimized Ti2BeSn2 structure.

Summary:
E_tot = -5.42 eV/atom
Symmetry = P4/mbm
E above lowest polymorph = 98 meV/atom
ΔE_f = 39 kJ/mol of formula units

abc: 6.7904 6.7904 4.0614
angles: 90.00 90.00 90.00
With the nearest neighbours (Å) after each atom.
Fractional positions:
Be 0.0000 0.0000 0.0000  4 Sn 2.58
Be 0.5000 0.5000 0.0000  4 Sn 2.58
Sn 0.3495 0.8495 0.0000  2 Be 2.58, 2 Ti 2.75, 1 Sn 2.89
Sn 0.8495 0.6505 0.0000  2 Be 2.58, 2 Ti 2.75, 1 Sn 2.89
Sn 0.6505 0.1505 0.0000  2 Be 2.58, 2 Ti 2.75, 1 Sn 2.89
Sn 0.1505 0.3495 0.0000  2 Be 2.58, 2 Ti 2.75, 1 Sn 2.89
Ti 0.1558 0.6558 0.5000  6 Sn 2.75-2.91, 1 Ti 2.99
Ti 0.6558 0.8442 0.5000  6 Sn 2.75-2.91, 1 Ti 2.99
Ti 0.8442 0.3442 0.5000  6 Sn 2.75-2.91, 1 Ti 2.99
Ti 0.3442 0.1558 0.5000  6 Sn 2.75-2.91, 1 Ti 2.99